Below is a geometry-optimized CsErIn2Br6 structure, with properties calculated at the GGA-PBE level.

Computed properties:
energy relative to the elements, uncorrected = -1.383 eV per atom
magnetic moment = 0.00 μB per formula unit
final energy = -3.476 eV/atom
Fermi-level density of states = 0.00 states/eV per atom
crystal system = triclinic
symmetry = P1

abc: 8.233 8.244 8.635
angles: 61.55 61.54 60.05
Element x y z (fractional)
Cs1 0.000 0.000 0.000
Er1 0.515 0.515 0.455
In1 0.197 0.198 0.407
In2 0.711 0.711 0.867
Br1 0.169 0.736 0.662
Br2 0.347 0.567 0.207
Br3 0.433 0.169 0.662
Br4 0.567 0.878 0.207
Br5 0.737 0.432 0.661
Br6 0.878 0.348 0.206

***

Below is a geometry-optimized KCrAu2 structure, with properties calculated at the GGA-PBE level.

Computed properties:
magnetic moment = 4.88 μB per formula unit
final energy = -4.062 eV/atom
Fermi-level density of states = 0.42 states/eV per atom
crystal system = tetragonal
symmetry = I4_1/amd

abc: 9.923 9.923 9.923
angles: 148.52 148.52 45.12
Element x y z (fractional)
K1 0.375 0.625 0.750
K2 0.625 0.375 0.250
Cr1 0.125 0.875 0.250
Cr2 0.875 0.125 0.750
Au1 0.000 0.000 0.000
Au2 0.000 0.000 0.500
Au3 0.000 0.500 0.000
Au4 0.500 0.000 0.500

***

Below is a geometry-optimized CaTiS2 structure, with properties calculated at the GGA-PBE level.

Computed properties:
energy relative to the elements, uncorrected = -1.137 eV per atom
magnetic moment = 0.58 μB per formula unit
final energy = -5.674 eV/atom
Fermi-level density of states = 0.79 states/eV per atom
crystal system = trigonal
symmetry = R-3m

abc: 8.486 8.486 8.486
angles: 24.48 24.48 24.48
Element x y z (fractional)
Ca1 0.000 0.000 0.000
Ti1 0.500 0.500 0.500
S1 0.111 0.111 0.111
S2 0.889 0.889 0.889

***

Below is a geometry-optimized Mg2IrOs structure, with properties calculated at the GGA-PBE level.

Computed properties:
magnetic moment = 0.00 μB per formula unit
final energy = -5.710 eV/atom
Fermi-level density of states = 0.77 states/eV per atom
crystal system = trigonal
symmetry = R3m

abc: 9.530 9.530 9.530
angles: 17.18 17.18 17.18
Element x y z (fractional)
Mg1 0.000 0.000 0.000
Mg2 0.235 0.235 0.235
Ir1 0.489 0.489 0.489
Os1 0.748 0.748 0.748